Computed, not measured: an optimized crystal structure of OsPb at the GGA-PBE level of DFT.

CIF file:
```
data_OsPb
_chemical_formula_sum 'Os2 Pb2'
_symmetry_space_group_name_H-M 'P 63/m m c'
_symmetry_Int_Tables_number 194
_symmetry_space_group_name_Hall '-P 6c 2c'
_cell_length_a 4.7087
_cell_length_b 4.7087
_cell_length_c 5.4750
_cell_angle_alpha 90.00
_cell_angle_beta 90.00
_cell_angle_gamma 120.00
loop_
_atom_site_label
_atom_site_fract_x
_atom_site_fract_y
_atom_site_fract_z
Os1 0.3333 0.6667 0.2500
Pb1 0.3333 0.6667 0.7500
```

Its total moment is 1.3 μB per cell. Its formation energy is 1.674 eV per atom. The value obtained for the total energy is -5.795 eV/atom. The crystal system is hexagonal.

=====

Computed, not measured: an optimized crystal structure of KGaPb at the GGA-PBE level of DFT.

CIF file:
```
data_KGaPb
_chemical_formula_sum 'K2 Ga2 Pb2'
_symmetry_space_group_name_H-M 'P 63/m m c'
_symmetry_Int_Tables_number 194
_symmetry_space_group_name_Hall '-P 6c 2c'
_cell_length_a 6.0137
_cell_length_b 6.0137
_cell_length_c 10.6164
_cell_angle_alpha 90.00
_cell_angle_beta 90.00
_cell_angle_gamma 120.00
loop_
_atom_site_label
_atom_site_fract_x
_atom_site_fract_y
_atom_site_fract_z
K1 0.3333 0.6667 0.2500
Ga1 0.0000 0.0000 0.2500
Pb1 0.0000 0.0000 0.0000
```

Its total moment is 0.0 μB per cell. Its formation energy is 0.322 eV per atom. The value obtained for the total energy is -2.289 eV/atom. The crystal system is hexagonal.